Density functional theory data (PBE-GGA) for an optimized crystal structure of Pm4Pr2Sm2Y.

Properties
- formation enthalpy at 0 K (kJ/mol of formula units) = 7

a = 3.685 Å, b = 9.731 Å, c = 9.804 Å
α = 115.13°, β = 90.00°, γ = 100.92°
Sites, in units of the cell vectors:
Pm 0.815 0.629 0.666
Pm 0.185 0.371 0.334
Pm 0.519 0.037 0.333
Pm 0.481 0.963 0.667
Pr 0.334 0.669 0.001
Pr 0.666 0.331 0.999
Sm 0.852 0.705 0.334
Sm 0.148 0.295 0.666
Y 0.000 0.000 0.000

=====

Density functional theory data (PBE-GGA) for an optimized crystal structure of PmPrSmY.

Properties
- formation enthalpy at 0 K (kJ/mol of formula units) = 47

a = 5.790 Å, b = 5.790 Å, c = 5.790 Å
α = 60.00°, β = 60.00°, γ = 60.00°
Sites, in units of the cell vectors:
Pr 0.000 0.000 0.000
Y 0.750 0.750 0.750
Sm 0.250 0.250 0.250
Pm 0.500 0.500 0.500

=====

Density functional theory data (PBE-GGA) for an optimized crystal structure of Pm2PrSm2Y.

Properties
- formation enthalpy at 0 K (kJ/mol of formula units) = 144

a = 3.437 Å, b = 6.789 Å, c = 17.925 Å
α = 90.00°, β = 90.00°, γ = 90.00°
Sites, in units of the cell vectors:
Pm 0.500 0.764 0.349
Pm 0.500 0.236 0.651
Pm 0.000 0.736 0.849
Pm 0.000 0.264 0.151
Pr 0.500 0.500 0.000
Pr 0.000 0.000 0.500
Sm 0.500 0.260 0.320
Sm 0.000 0.760 0.180
Sm 0.500 0.740 0.680
Sm 0.000 0.240 0.820
Y 0.000 0.000 0.000
Y 0.500 0.500 0.500

=====

Density functional theory data (PBE-GGA) for an optimized crystal structure of PmPr6Sm2Y3.

Properties
- formation enthalpy at 0 K (kJ/mol of formula units) = 10

a = 6.360 Å, b = 6.360 Å, c = 12.033 Å
α = 95.04°, β = 95.04°, γ = 120.02°
Sites, in units of the cell vectors:
Pm 0.000 0.000 0.000
Pr 0.916 0.582 0.748
Pr 0.751 0.751 0.252
Pr 0.084 0.418 0.252
Pr 0.582 0.916 0.748
Pr 0.249 0.249 0.748
Pr 0.418 0.084 0.252
Sm 0.333 0.667 0.000
Sm 0.667 0.333 0.000
Y 0.167 0.833 0.500
Y 0.833 0.167 0.500
Y 0.500 0.500 0.500

=====

Density functional theory data (PBE-GGA) for an optimized crystal structure of Pm4PrSm2Y2.

Properties
- formation enthalpy at 0 K (kJ/mol of formula units) = 13

a = 5.144 Å, b = 8.136 Å, c = 8.121 Å
α = 107.53°, β = 90.00°, γ = 108.43°
Sites, in units of the cell vectors:
Pm 0.778 0.555 0.667
Pm 0.222 0.445 0.333
Pm 0.555 0.111 0.334
Pm 0.445 0.889 0.666
Pr 0.000 0.000 0.000
Sm 0.889 0.778 0.334
Sm 0.111 0.222 0.666
Y 0.332 0.665 0.000
Y 0.668 0.335 0.000

=====

Density functional theory data (PBE-GGA) for an optimized crystal structure of Pm2Pr2SmY.

Properties
- formation enthalpy at 0 K (kJ/mol of formula units) = 29

a = 5.774 Å, b = 7.149 Å, c = 9.989 Å
α = 90.00°, β = 90.00°, γ = 90.00°
Sites, in units of the cell vectors:
Pm 0.000 0.257 0.836
Pm 0.500 0.258 0.332
Pm 0.000 0.757 0.164
Pm 0.500 0.758 0.668
Pr 0.500 0.007 0.000
Pr 0.000 0.257 0.174
Pr 0.500 0.507 0.000
Pr 0.000 0.757 0.826
Sm 0.500 0.258 0.661
Sm 0.500 0.758 0.339
Y 0.000 0.008 0.500
Y 0.000 0.508 0.500

=====

Density functional theory data (PBE-GGA) for an optimized crystal structure of PmPr2Sm3Y6.

Properties
- formation enthalpy at 0 K (kJ/mol of formula units) = 13

a = 6.276 Å, b = 6.276 Å, c = 11.890 Å
α = 95.03°, β = 95.03°, γ = 119.98°
Sites, in units of the cell vectors:
Pm 0.000 0.000 0.000
Pr 0.333 0.667 0.000
Pr 0.667 0.333 0.000
Sm 0.167 0.833 0.500
Sm 0.833 0.167 0.500
Sm 0.500 0.500 0.500
Y 0.916 0.583 0.749
Y 0.751 0.751 0.252
Y 0.084 0.417 0.251
Y 0.583 0.916 0.749
Y 0.249 0.249 0.748
Y 0.417 0.084 0.251

=====

Density functional theory data (PBE-GGA) for an optimized crystal structure of Pm2Pr4SmY2.

Properties
- formation enthalpy at 0 K (kJ/mol of formula units) = 14

a = 5.184 Å, b = 8.198 Å, c = 8.164 Å
α = 107.55°, β = 90.00°, γ = 108.43°
Sites, in units of the cell vectors:
Pm 0.889 0.778 0.332
Pm 0.111 0.222 0.668
Pr 0.778 0.555 0.668
Pr 0.222 0.445 0.332
Pr 0.555 0.109 0.332
Pr 0.445 0.891 0.668
Sm 0.000 0.000 0.000
Y 0.333 0.666 0.001
Y 0.667 0.334 0.999